Material: Y2MgCd
Method: DFT, PBE
State: optimized geometry

a b c (Å): 3.5816 3.5816 30.7656
angles (deg): 90.00 90.00 120.00
With the nearest neighbours (Å) after each atom.
Sites, in units of the cell vectors:
Y 0.0000 0.0000 0.0000  3 Cd 3.25, 9 Y 3.55-3.58
Y 0.0000 0.0000 0.2395  3 Mg 3.38, 9 Y 3.55-3.58
Y 0.3333 0.6667 0.6667  3 Cd 3.25, 9 Y 3.55-3.58
Y 0.3333 0.6667 0.9062  3 Mg 3.38, 9 Y 3.55-3.58
Y 0.6667 0.3333 0.3333  3 Cd 3.25, 9 Y 3.55-3.58
Y 0.6667 0.3333 0.5728  3 Mg 3.38, 9 Y 3.55-3.58
Mg 0.0000 0.0000 0.4861  3 Cd 3.02, 3 Y 3.38
Mg 0.3333 0.6667 0.1528  3 Cd 3.02, 3 Y 3.38
Mg 0.6667 0.3333 0.8195  3 Cd 3.02, 3 Y 3.38
Cd 0.0000 0.0000 0.7480  3 Mg 3.02, 3 Y 3.25
Cd 0.3333 0.6667 0.4147  3 Mg 3.02, 3 Y 3.25
Cd 0.6667 0.3333 0.0813  3 Mg 3.02, 3 Y 3.25

## Properties
The value obtained for the density is 4.6 g/cm3. Its space group is R3m, No. 160. The total magnetization comes out at 0.5 μB per formula unit. As for the energy of formation from the pure elements: -39 meV/atom.